AlCuHgOs2 GGA-PBE optimized geometry; SG = P4/mmm (123); total DFT energy (no corrections) = -22.30 eV per formula unit; energy of formation = 1660 meV/atom; total moment = 1.8 μB/f.u.
1.0
4.561 0.000 0.000
0.000 4.632 0.000
0.000 0.000 4.561
Os Cu Al Hg
2 1 1 1
Direct
0.000 0.000 0.500
0.500 0.000 0.000
0.000 0.000 0.000
0.500 0.500 0.500
0.000 0.500 0.000

***

NdDyErGa GGA-PBE optimized geometry; SG = F-43m (216); total DFT energy (no corrections) = -17.33 eV per formula unit; energy of formation = -93 meV/atom; total moment = 0.8 μB/f.u.
1.0
-1.595 -4.513 2.420
1.814 -4.748 -1.714
3.453 -2.796 3.006
Ga Dy Er Nd
1 1 1 1
Direct
0.250 0.250 0.250
0.000 0.000 0.000
0.750 0.750 0.750
0.500 0.500 0.500

***

CsNaZrBr6 GGA-PBE optimized geometry; E_form (uncorrected) = -1.55 eV/atom; SG = P-31c (163); total DFT energy (no corrections) = -34.68 eV per formula unit; total moment = 0.0 μB/f.u.
1.0
-3.299 1.381 -6.613
-3.937 -3.140 5.582
-4.175 14.215 5.052
Na Br Zr Cs
2 12 2 2
Direct
0.667 0.333 0.750
0.333 0.667 0.250
0.965 0.358 0.151
0.392 0.035 0.151
0.392 0.358 0.349
0.358 0.392 0.849
0.642 0.608 0.151
0.035 0.642 0.849
0.965 0.608 0.349
0.608 0.965 0.849
0.358 0.965 0.651
0.642 0.035 0.349
0.608 0.642 0.651
0.035 0.392 0.651
0.333 0.667 0.750
0.667 0.333 0.250
0.000 0.000 0.500
0.000 0.000 0.000

***

FeTe2Ir GGA-PBE optimized geometry; E_form (uncorrected) = 0.31 eV/atom; SG = C2/m (12); total DFT energy (no corrections) = -22.35 eV per formula unit; total moment = 3.2 μB/f.u.
1.0
3.914 -0.047 0.028
1.978 3.378 0.028
1.945 1.099 6.366
Te Fe Ir
2 1 1
Direct
0.495 0.495 0.515
0.005 0.005 0.985
0.250 0.250 0.250
0.750 0.750 0.750

***

Pm3Nd4ErS8 GGA-PBE optimized geometry; E_form (uncorrected) = -2.01 eV/atom; SG = R-3m (166); total DFT energy (no corrections) = -103.13 eV per formula unit; total moment = 0.0 μB/f.u.
1.0
8.057 0.000 0.000
0.000 8.073 0.006
-4.028 -4.024 5.700
Nd S Pm Er
4 8 3 1
Direct
0.500 0.000 0.000
0.000 0.000 0.000
0.500 0.000 0.500
0.000 0.000 0.500
0.245 0.260 0.002
0.757 0.260 0.515
0.749 0.746 0.498
0.243 0.740 0.998
0.757 0.260 0.002
0.243 0.740 0.485
0.755 0.740 0.998
0.251 0.254 0.502
0.000 0.500 0.500
0.500 0.500 0.000
0.500 0.500 0.500
0.000 0.500 0.000

***

FeAs2Os GGA-PBE optimized geometry; SG = Cmmm (65); total DFT energy (no corrections) = -26.83 eV per formula unit; energy of formation = 541 meV/atom; total moment = 2.3 μB/f.u.
1.0
2.956 -0.009 0.000
-1.473 2.563 0.000
0.000 0.000 8.084
As Os Fe
2 1 1
Direct
0.000 0.000 0.493
0.000 0.000 0.007
0.500 0.500 0.750
0.500 0.500 0.250

***

BaCo2Re GGA-PBE optimized geometry; SG = P4/mmm (123); total DFT energy (no corrections) = -23.93 eV per formula unit; energy of formation = 1163 meV/atom; total moment = 3.8 μB/f.u.
1.0
4.850 0.000 0.000
0.000 4.845 0.000
0.000 0.000 3.003
Co Re Ba
2 1 1
Direct
0.500 0.500 0.000
0.000 0.000 0.000
0.500 0.000 0.500
0.000 0.500 0.500

***

Cs10Te4S GGA-PBE optimized geometry; E_form (uncorrected) = -1.02 eV/atom; SG = I4/m (87); total DFT energy (no corrections) = -40.57 eV per formula unit; total moment = 0.0 μB/f.u.
1.0
8.069 0.000 3.643
4.034 9.883 1.822
-0.033 0.000 10.829
Te Cs S
4 10 1
Direct
0.601 0.196 0.602
0.203 0.398 0.196
0.797 0.602 0.804
0.399 0.804 0.398
0.430 0.904 0.712
0.570 0.096 0.288
0.047 0.096 0.288
0.143 0.288 0.904
0.857 0.712 0.096
0.953 0.904 0.712
0.250 0.500 0.500
0.665 0.288 0.904
0.335 0.712 0.096
0.750 0.500 0.500
0.000 0.000 0.000

***

Ta2SiHg GGA-PBE optimized geometry; E_form (uncorrected) = 0.07 eV/atom; SG = Pmmm (47); total DFT energy (no corrections) = -29.16 eV per formula unit; total moment = 0.0 μB/f.u.
1.0
3.178 0.000 0.000
0.000 2.864 0.000
0.000 0.000 7.674
Hg Ta Si
1 2 1
Direct
0.500 0.500 0.250
0.000 0.000 0.961
0.000 0.000 0.539
0.500 0.500 0.750

***

Pm3MgSi2 GGA-PBE optimized geometry; E_form (uncorrected) = -0.32 eV/atom; SG = R-3c (167); total DFT energy (no corrections) = -28.62 eV per formula unit; total moment = 0.0 μB/f.u.
1.0
7.775 0.777 0.605
3.248 7.107 0.605
3.248 2.323 6.744
Pm Mg Si
6 2 4
Direct
0.750 0.469 0.031
0.250 0.531 0.969
0.469 0.031 0.750
0.031 0.750 0.469
0.531 0.969 0.250
0.969 0.250 0.531
0.000 0.000 0.000
0.500 0.500 0.500
0.356 0.356 0.356
0.144 0.144 0.144
0.644 0.644 0.644
0.856 0.856 0.856

***

Dy6C2S3N GGA-PBE optimized geometry; E_form (uncorrected) = -1.50 eV/atom; SG = C2/m (12); total DFT energy (no corrections) = -84.78 eV per formula unit; total moment = 0.0 μB/f.u.
1.0
3.689 0.000 0.000
0.000 7.609 0.104
-1.845 -2.365 7.905
Dy N S C
6 1 3 2
Direct
0.325 0.438 0.651
0.342 0.896 0.683
0.675 0.562 0.349
0.009 0.229 0.018
0.991 0.771 0.982
0.658 0.104 0.317
0.500 0.000 0.000
0.834 0.166 0.668
0.500 0.500 0.000
0.166 0.834 0.332
0.164 0.329 0.329
0.836 0.671 0.671

***

NaCuSe4 GGA-PBE optimized geometry; E_form (uncorrected) = -0.21 eV/atom; SG = I4_1/a (88); total DFT energy (no corrections) = -20.58 eV per formula unit; total moment = 0.0 μB/f.u.
1.0
4.707 0.000 -1.300
-0.359 4.694 -1.300
1.508 1.627 14.632
Se Na Cu
8 2 2
Direct
0.169 0.094 0.385
0.716 0.291 0.385
0.831 0.906 0.615
0.791 0.669 0.885
0.594 0.216 0.885
0.209 0.331 0.115
0.284 0.709 0.615
0.406 0.784 0.115
0.875 0.625 0.250
0.125 0.375 0.750
0.375 0.125 0.250
0.625 0.875 0.750